Here is a geometry-optimized CuSeN2Cl structure from Alexandria via LeMat-Bulk. Energies are from PBE.

- Calculated volume: 18.8 A^3/atom
- Formation energy without anion corrections: 2.082 eV per atom
- Relative energy among the computed polymorphs: 555 meV per atom

Structure (POSCAR):
```
CuSeN2Cl
1.0
3.535 0.000 0.000
0.000 3.535 0.000
0.000 0.000 7.539
N Cu Se Cl
2 1 1 1
Cartesian
0.000 1.768 0.000 N
1.768 0.000 0.000 N
1.768 1.768 3.769 Cu
0.000 0.000 3.769 Se
0.000 0.000 0.000 Cl
```

---

Here is a geometry-optimized CuSe2NCl structure from Alexandria via LeMat-Bulk. Energies are from PBE.

- Calculated volume: 18.6 A^3/atom
- Formation energy without anion corrections: 1.042 eV per atom
- Relative energy among the computed polymorphs: 0 meV per atom

Structure (POSCAR):
```
CuSe2NCl
1.0
5.125 0.000 0.000
0.000 5.125 0.000
0.000 0.000 3.533
N Cu Se Cl
1 1 2 1
Cartesian
0.000 0.000 1.766 N
0.000 0.000 0.000 Cu
0.000 2.562 0.000 Se
2.562 0.000 0.000 Se
2.562 2.562 1.766 Cl
```

---

Here is a geometry-optimized CuSeN2Cl structure from Alexandria via LeMat-Bulk. Energies are from PBE.

- Calculated volume: 17.1 A^3/atom
- Formation energy without anion corrections: 1.527 eV per atom
- Relative energy among the computed polymorphs: 0 meV per atom

Structure (POSCAR):
```
CuSeN2Cl
1.0
3.782 0.000 0.000
0.000 3.782 0.000
0.000 0.000 5.994
N Cu Se Cl
2 1 1 1
Cartesian
0.000 1.891 0.000 N
1.891 0.000 0.000 N
0.000 0.000 0.000 Cu
0.000 0.000 2.997 Se
1.891 1.891 2.997 Cl
```

---

Here is a geometry-optimized CuSe2NCl structure from Alexandria via LeMat-Bulk. Energies are from PBE.

- Calculated volume: 18.5 A^3/atom
- Formation energy without anion corrections: 1.600 eV per atom
- Relative energy among the computed polymorphs: 559 meV per atom

Structure (POSCAR):
```
CuSe2NCl
1.0
-0.919 -5.146 -0.690
4.932 -0.647 -1.749
1.025 -0.600 3.112
N Cu Se Cl
1 1 2 1
Cartesian
0.512 -0.300 1.556 N
2.519 -3.196 0.337 Cu
2.466 -0.323 -0.874 Se
-0.460 -2.573 -0.345 Se
0.000 0.000 0.000 Cl
```

---

Here is a geometry-optimized Sr2CuNCl structure from Alexandria via LeMat-Bulk. Energies are from PBE.

- Calculated volume: 25.7 A^3/atom
- Formation energy without anion corrections: 0.228 eV per atom
- Relative energy among the computed polymorphs: 1067 meV per atom

Structure (POSCAR):
```
Sr2CuNCl
1.0
5.536 0.000 0.000
0.000 4.187 0.000
0.000 0.000 5.536
Sr N Cu Cl
2 1 1 1
Cartesian
0.000 0.000 2.768 Sr
2.768 0.000 0.000 Sr
0.000 2.094 0.000 N
2.768 2.094 2.768 Cu
0.000 0.000 0.000 Cl
```

---

Here is a geometry-optimized Sr2CuNCl structure from Alexandria via LeMat-Bulk. Energies are from PBE.

- Calculated volume: 21.9 A^3/atom
- Formation energy without anion corrections: -0.839 eV per atom
- Relative energy among the computed polymorphs: 0 meV per atom

Structure (POSCAR):
```
Sr2CuNCl
1.0
5.400 0.000 0.000
0.000 5.400 0.000
0.000 0.000 3.759
Sr N Cu Cl
2 1 1 1
Cartesian
0.000 2.700 0.000 Sr
2.700 0.000 0.000 Sr
0.000 0.000 0.000 N
0.000 0.000 1.880 Cu
2.700 2.700 1.880 Cl
```

---

Here is a geometry-optimized CuTeN2Cl structure from Alexandria via LeMat-Bulk. Energies are from PBE.

- Calculated volume: 21.6 A^3/atom
- Formation energy without anion corrections: 2.117 eV per atom
- Relative energy among the computed polymorphs: 789 meV per atom

Structure (POSCAR):
```
CuTeN2Cl
1.0
3.704 0.000 0.000
0.000 3.704 0.000
0.000 0.000 7.881
N Te Cu Cl
2 1 1 1
Cartesian
0.000 1.852 0.000 N
1.852 0.000 0.000 N
0.000 0.000 3.941 Te
1.852 1.852 3.941 Cu
0.000 0.000 0.000 Cl
```

---

Here is a geometry-optimized CuTe2NCl structure from Alexandria via LeMat-Bulk. Energies are from PBE.

- Calculated volume: 21.9 A^3/atom
- Formation energy without anion corrections: 1.490 eV per atom
- Relative energy among the computed polymorphs: 695 meV per atom

Structure (POSCAR):
```
CuTe2NCl
1.0
5.692 0.000 0.000
0.000 5.692 0.000
0.000 0.000 3.383
N Te Cu Cl
1 2 1 1
Cartesian
0.000 0.000 1.691 N
0.000 2.846 0.000 Te
2.846 0.000 0.000 Te
2.846 2.846 1.691 Cu
0.000 0.000 0.000 Cl
```

---

Here is a geometry-optimized CuTeN2Cl structure from Alexandria via LeMat-Bulk. Energies are from PBE.

- Calculated volume: 18.4 A^3/atom
- Formation energy without anion corrections: 1.485 eV per atom
- Relative energy among the computed polymorphs: 157 meV per atom

Structure (POSCAR):
```
CuTeN2Cl
1.0
-0.821 -3.827 0.287
2.080 -0.197 3.322
-4.899 1.287 3.144
N Te Cu Cl
2 1 1 1
Cartesian
1.040 -0.099 1.661 N
-0.410 -1.914 0.144 N
-2.449 0.643 1.572 Te
0.000 0.000 0.000 Cu
-1.820 -1.369 3.376 Cl
```

---

Here is a geometry-optimized CuTeN2Cl structure from Alexandria via LeMat-Bulk. Energies are from PBE.

- Calculated volume: 18.2 A^3/atom
- Formation energy without anion corrections: 1.328 eV per atom
- Relative energy among the computed polymorphs: 0 meV per atom

Structure (POSCAR):
```
CuTeN2Cl
1.0
3.899 0.000 0.000
0.000 5.983 0.000
0.000 0.000 3.899
N Te Cu Cl
2 1 1 1
Cartesian
0.000 0.000 1.950 N
1.950 0.000 0.000 N
0.000 0.000 0.000 Te
0.000 2.992 0.000 Cu
1.950 2.992 1.950 Cl
```

---

Here is a geometry-optimized CuTe2NCl structure from Alexandria via LeMat-Bulk. Energies are from PBE.

- Calculated volume: 21.6 A^3/atom
- Formation energy without anion corrections: 0.795 eV per atom
- Relative energy among the computed polymorphs: 0 meV per atom

Structure (POSCAR):
```
CuTe2NCl
1.0
-1.836 -0.761 -5.181
5.029 -1.789 -1.519
-0.924 -3.286 0.810
N Te Cu Cl
1 2 1 1
Cartesian
-0.462 -1.643 0.405 N
2.514 -0.894 -0.759 Te
-0.918 -0.381 -2.591 Te
0.000 0.000 0.000 Cu
1.134 -2.918 -2.945 Cl
```

---

Here is a geometry-optimized CuWNCl2 structure from Alexandria via LeMat-Bulk. Energies are from PBE.

- Calculated volume: 17.8 A^3/atom
- Formation energy without anion corrections: 1.507 eV per atom

Structure (POSCAR):
```
CuWNCl2
1.0
5.107 0.000 0.000
0.000 3.415 0.000
0.000 0.000 5.107
N Cu W Cl
1 1 1 2
Cartesian
0.000 0.000 0.000 N
0.000 1.708 0.000 Cu
2.554 1.708 2.554 W
0.000 0.000 2.554 Cl
2.554 0.000 0.000 Cl
```